Here is Ca2InTe2 after structural relaxation from Alexandria. Energies are from PBE-GGA.

a = 8.6768 Å, b = 8.6768 Å, c = 4.1015 Å
α = 90.00°, β = 90.00°, γ = 90.00°
Closest atoms and distances in Å follow each position.
Fractional coordinates of all 10 atoms:
Ca  0.1454  0.3546  0.0000  6 Te 3.15-3.35, 2 In 3.33
Ca  0.3546  0.8546  0.0000  6 Te 3.15-3.35, 2 In 3.33
Ca  0.6454  0.1454  0.0000  6 Te 3.15-3.35, 2 In 3.33
Ca  0.8546  0.6454  0.0000  6 Te 3.15-3.35, 2 In 3.33
In  0.0000  0.0000  0.0000  4 Ca 3.33
In  0.5000  0.5000  0.0000  4 Ca 3.33
Te  0.1598  0.6598  0.5000  6 Ca 3.15-3.35
Te  0.3402  0.1598  0.5000  6 Ca 3.15-3.35
Te  0.6598  0.8402  0.5000  6 Ca 3.15-3.35
Te  0.8402  0.3402  0.5000  6 Ca 3.15-3.35

Summary:
**Relative energy among the computed polymorphs**: 0.100 eV/atom
**Spin magnetization**: 0.000 μB per formula unit
**Space group**: P4/mbm, No. 127

---

Here is CaZn8Co4 after structural relaxation from Alexandria. Energies are from PBE-GGA.

a = 6.6179 Å, b = 6.6179 Å, c = 6.6179 Å
α = 98.21°, β = 98.21°, γ = 135.60°
Closest atoms and distances in Å follow each position.
Fractional coordinates of all 13 atoms:
Ca  0.0000  0.0000  0.0000  12 Zn 2.91-3.19
Zn  0.0000  0.3360  0.3360  4 Co 2.61, 5 Zn 2.67-2.84, 1 Ca 2.91
Zn  0.0000  0.6640  0.6640  4 Co 2.61, 5 Zn 2.67-2.84, 1 Ca 2.91
Zn  0.2719  0.5000  0.7719  4 Co 2.51, 6 Zn 2.67-2.80
Zn  0.3360  0.0000  0.3360  4 Co 2.61, 5 Zn 2.67-2.84, 1 Ca 2.91
Zn  0.5000  0.2719  0.7719  4 Co 2.51, 6 Zn 2.67-2.80
Zn  0.5000  0.7281  0.2281  4 Co 2.51, 6 Zn 2.67-2.80
Zn  0.6640  0.0000  0.6640  4 Co 2.61, 5 Zn 2.67-2.84, 1 Ca 2.91
Zn  0.7281  0.5000  0.2281  4 Co 2.51, 6 Zn 2.67-2.80
Co  0.0000  0.0000  0.5000  2 Co 2.50, 8 Zn 2.51-2.61
Co  0.0000  0.5000  0.0000  2 Co 2.50, 8 Zn 2.51-2.61
Co  0.5000  0.0000  0.0000  2 Co 2.50, 8 Zn 2.51-2.61
Co  0.5000  0.5000  0.5000  2 Co 2.50, 8 Zn 2.51-2.61

Summary:
**Raw total energy**: -3.252 eV per atom
**Spin magnetization**: 3.923 μB per formula unit
**Space group**: I4/mmm, No. 139

---

Here is HPtI2 after structural relaxation from Alexandria. Energies are from PBE-GGA.

a = 7.0995 Å, b = 7.0995 Å, c = 7.0995 Å
α = 131.55°, β = 131.55°, γ = 70.94°
Closest atoms and distances in Å follow each position.
Fractional coordinates of all 8 atoms:
H  0.0000  0.0000  0.0000  4 I 2.40
H  0.7500  0.2500  0.5000  4 I 2.40
Pt  0.2500  0.7500  0.5000  4 I 2.64
Pt  0.5000  0.5000  0.0000  4 I 2.64
I  0.0895  0.6250  0.9645  2 H 2.40, 2 Pt 2.64
I  0.3750  0.3395  0.4645  2 H 2.40, 2 Pt 2.64
I  0.6605  0.1250  0.0355  2 H 2.40, 2 Pt 2.64
I  0.8750  0.9105  0.5355  2 H 2.40, 2 Pt 2.64

Summary:
**Relative energy among the computed polymorphs**: 0.197 eV/atom
**Spin magnetization**: 0.000 μB per formula unit
**Space group**: I-42d, No. 122

---

Here is SrAg2Br after structural relaxation from Alexandria. Energies are from PBE-GGA.

a = 4.2381 Å, b = 4.2381 Å, c = 6.1559 Å
α = 90.00°, β = 90.00°, γ = 91.19°
Closest atoms and distances in Å follow each position.
Fractional coordinates of all 4 atoms:
Sr  0.0000  0.0000  0.0000  4 Br 2.97-3.03
Ag  0.2434  0.7566  0.5000  4 Ag 2.95-3.11
Ag  0.7566  0.2434  0.5000  4 Ag 2.95-3.11
Br  0.5000  0.5000  0.0000  4 Sr 2.97-3.03

Summary:
**Relative energy among the computed polymorphs**: 0.111 eV/atom
**Spin magnetization**: 0.000 μB per formula unit
**Space group**: Cmmm, No. 65

---

Here is Nd4DyGe4 after structural relaxation from Alexandria. Energies are from PBE-GGA.

a = 9.0989 Å, b = 9.0989 Å, c = 6.1122 Å
α = 90.00°, β = 90.00°, γ = 90.00°
Closest atoms and distances in Å follow each position.
Fractional coordinates of all 18 atoms:
Nd  0.0497  0.6708  0.1197  5 Ge 2.95-3.25
Nd  0.1708  0.9503  0.6197  5 Ge 2.95-3.25
Nd  0.3292  0.5497  0.6197  5 Ge 2.95-3.25
Nd  0.4503  0.8292  0.1197  5 Ge 2.95-3.25
Nd  0.5497  0.1708  0.8803  5 Ge 2.95-3.25
Nd  0.6708  0.4503  0.3803  5 Ge 2.95-3.25
Nd  0.8292  0.0497  0.3803  5 Ge 2.95-3.25
Nd  0.9503  0.3292  0.8803  5 Ge 2.95-3.25
Dy  0.2500  0.2500  0.2500  4 Ge 2.78
Dy  0.7500  0.7500  0.7500  4 Ge 2.78
Ge  0.0148  0.6293  0.6093  1 Ge 2.72, 1 Dy 2.78, 2 Nd 2.95-3.03
Ge  0.1293  0.9852  0.1093  1 Ge 2.72, 1 Dy 2.78, 2 Nd 2.95-3.03
Ge  0.3707  0.5148  0.1093  1 Ge 2.72, 1 Dy 2.78, 2 Nd 2.95-3.03
Ge  0.4852  0.8707  0.6093  1 Ge 2.72, 1 Dy 2.78, 2 Nd 2.95-3.03
Ge  0.5148  0.1293  0.3907  1 Ge 2.72, 1 Dy 2.78, 2 Nd 2.95-3.03
Ge  0.6293  0.4852  0.8907  1 Ge 2.72, 1 Dy 2.78, 2 Nd 2.95-3.03
Ge  0.8707  0.0148  0.8907  1 Ge 2.72, 1 Dy 2.78, 2 Nd 2.95-3.03
Ge  0.9852  0.3707  0.3907  1 Ge 2.72, 1 Dy 2.78, 2 Nd 2.95-3.03

Summary:
**Raw total energy**: -5.276 eV per atom
**Spin magnetization**: 0.000 μB per formula unit
**Space group**: P4_2/n, No. 86

---

Here is SrUTl2Br8 after structural relaxation from Alexandria. Energies are from PBE-GGA.

a = 7.2432 Å, b = 7.5904 Å, c = 9.1464 Å
α = 90.04°, β = 90.02°, γ = 92.17°
Closest atoms and distances in Å follow each position.
Fractional coordinates of all 12 atoms:
Sr  0.0000  0.0000  0.0000  6 Br 3.01-3.16
U  0.0000  0.0000  0.5000  6 Br 2.73-2.84
Tl  0.4975  0.5002  0.7555  5 Br 3.14-3.51
Tl  0.5025  0.4998  0.2445  5 Br 3.14-3.51
Br  0.1981  0.3138  0.4994  1 U 2.73
Br  0.2243  0.8703  0.7278  1 U 2.84, 1 Sr 3.15
Br  0.2258  0.8729  0.2737  1 U 2.83, 1 Sr 3.16
Br  0.2484  0.3272  0.0008  1 Sr 3.01, 2 Tl 3.14
Br  0.7516  0.6728  0.9992  1 Sr 3.01, 2 Tl 3.14
Br  0.7742  0.1271  0.7263  1 U 2.83, 1 Sr 3.16
Br  0.7757  0.1297  0.2722  1 U 2.84, 1 Sr 3.15
Br  0.8019  0.6862  0.5006  1 U 2.73

Summary:
**Raw total energy**: -3.939 eV per atom
**Spin magnetization**: 2.000 μB per formula unit
**Space group**: P-1, No. 2

---

Here is Ca2AcPaS6 after structural relaxation from Alexandria. Energies are from PBE-GGA.

a = 7.5424 Å, b = 7.5424 Å, c = 7.5424 Å
α = 56.54°, β = 56.54°, γ = 56.54°
Closest atoms and distances in Å follow each position.
Fractional coordinates of all 10 atoms:
Ca  0.0000  0.0000  0.0000  6 S 2.79-2.90
Ca  0.4903  0.4903  0.4903  6 S 2.85-2.92
Ac  0.2050  0.2050  0.2050  6 S 2.92-3.04
Pa  0.6927  0.6927  0.6927  6 S 2.66-2.67
S  0.0678  0.4249  0.7977  1 Pa 2.67, 2 Ca 2.85-2.90
S  0.3095  0.8758  0.6186  1 Pa 2.66, 2 Ca 2.79-2.92, 1 Ac 2.92
S  0.4249  0.7977  0.0678  1 Pa 2.67, 2 Ca 2.85-2.90
S  0.6186  0.3095  0.8758  1 Pa 2.66, 2 Ca 2.79-2.92, 1 Ac 2.92
S  0.7977  0.0678  0.4249  1 Pa 2.67, 2 Ca 2.85-2.90
S  0.8758  0.6186  0.3095  1 Pa 2.66, 2 Ca 2.79-2.92, 1 Ac 2.92

Summary:
**Raw total energy**: -6.151 eV per atom
**Spin magnetization**: 0.000 μB per formula unit
**Space group**: R3, No. 146

---

Here is AlIn2Ag after structural relaxation from Alexandria. Energies are from PBE-GGA.

a = 3.1856 Å, b = 3.1856 Å, c = 8.5860 Å
α = 90.00°, β = 90.00°, γ = 90.00°
Closest atoms and distances in Å follow each position.
Fractional coordinates of all 4 atoms:
Al  0.0000  0.0000  0.0000  4 Ag 2.77
In  0.0000  0.0000  0.5640  4 Ag 3.10, 8 In 3.19-3.43
In  0.5000  0.5000  0.2621  4 Al 3.18, 8 In 3.19-3.43
Ag  0.5000  0.5000  0.8126  4 Al 2.77

Summary:
**Raw total energy**: -2.956 eV per atom
**Spin magnetization**: 0.000 μB per formula unit
**Space group**: P4mm, No. 99

---

Here is LaZrSc2B after structural relaxation from Alexandria. Energies are from PBE-GGA.

a = 4.8328 Å, b = 4.8328 Å, c = 4.8767 Å
α = 90.00°, β = 90.00°, γ = 90.00°
Closest atoms and distances in Å follow each position.
Fractional coordinates of all 5 atoms:
La  0.0000  0.0000  0.0000  4 Zr 3.42, 8 Sc 3.43
Zr  0.5000  0.5000  0.0000  2 B 2.44
Sc  0.0000  0.5000  0.5000  2 B 2.42
Sc  0.5000  0.0000  0.5000  2 B 2.42
B  0.5000  0.5000  0.5000  4 Sc 2.42, 2 Zr 2.44

Summary:
**Raw total energy**: -6.569 eV per atom
**Spin magnetization**: 0.000 μB per formula unit
**Space group**: P4/mmm, No. 123

---

Here is Rb2RhCCl6 after structural relaxation from Alexandria. Energies are from PBE-GGA.

a = 7.0466 Å, b = 7.0466 Å, c = 7.0466 Å
α = 111.53°, β = 111.53°, γ = 105.42°
Closest atoms and distances in Å follow each position.
Fractional coordinates of all 10 atoms:
Rb  0.2500  0.7500  0.5000  8 Cl 3.55
Rb  0.7500  0.2500  0.5000  8 Cl 3.55
Rh  0.0000  0.0000  0.0000  6 Cl 2.38-2.59
C  0.5000  0.5000  0.0000  2 Cl 1.68
Cl  0.2123  0.2123  0.4247  1 Rh 2.38
Cl  0.2123  0.7877  0.0000  1 Rh 2.38
Cl  0.3035  0.3035  0.0000  1 C 1.68
Cl  0.6965  0.6965  0.0000  1 C 1.68
Cl  0.7877  0.2123  0.0000  1 Rh 2.38
Cl  0.7877  0.7877  0.5753  1 Rh 2.38

Summary:
**Raw total energy**: -3.451 eV per atom
**Spin magnetization**: 0.998 μB per formula unit
**Space group**: I4/mmm, No. 139

---

Here is Na2LaTlF after structural relaxation from Alexandria. Energies are from PBE-GGA.

a = 4.8490 Å, b = 4.8490 Å, c = 5.2067 Å
α = 90.00°, β = 90.00°, γ = 90.00°
Closest atoms and distances in Å follow each position.
Fractional coordinates of all 5 atoms:
Na  0.0000  0.5000  0.0000  2 F 2.42
Na  0.5000  0.0000  0.0000  2 F 2.42
La  0.0000  0.0000  0.5000  2 F 2.60
Tl  0.5000  0.5000  0.5000  4 La 3.43, 8 Na 3.56
F  0.0000  0.0000  0.0000  4 Na 2.42, 2 La 2.60

Summary:
**Raw total energy**: -3.486 eV per atom
**Spin magnetization**: 0.001 μB per formula unit
**Space group**: P4/mmm, No. 123

---

Here is RbInO2 after structural relaxation from Alexandria. Energies are from PBE-GGA.

a = 6.2026 Å, b = 6.2026 Å, c = 5.9407 Å
α = 114.22°, β = 114.22°, γ = 94.30°
Closest atoms and distances in Å follow each position.
Fractional coordinates of all 8 atoms:
Rb  0.1336  0.8664  0.7500  4 O 2.85-2.99
Rb  0.8664  0.1336  0.2500  4 O 2.85-2.99
In  0.4639  0.5361  0.2500  4 O 2.08-2.15
In  0.5361  0.4639  0.7500  4 O 2.08-2.15
O  0.2302  0.4303  0.8299  2 In 2.08-2.15
O  0.4303  0.2302  0.3299  2 In 2.08-2.15
O  0.5697  0.7698  0.6701  2 In 2.08-2.15
O  0.7698  0.5697  0.1701  2 In 2.08-2.15

Summary:
**Raw total energy**: -4.797 eV per atom
**Spin magnetization**: 0.000 μB per formula unit
**Space group**: C2/c, No. 15

---

Here is Ag3P after structural relaxation from Alexandria. Energies are from PBE-GGA.

a = 5.0680 Å, b = 5.0680 Å, c = 5.0452 Å
α = 101.97°, β = 101.97°, γ = 33.27°
Closest atoms and distances in Å follow each position.
Fractional coordinates of all 4 atoms:
Ag  0.0000  0.0000  0.0000  8 Ag 2.89-2.97, 4 P 2.91
Ag  0.2385  0.2385  0.7425  3 P 2.78-3.05, 9 Ag 2.89-2.97
Ag  0.7615  0.7615  0.2575  3 P 2.78-3.05, 9 Ag 2.89-2.97
P  0.5000  0.5000  0.5000  10 Ag 2.78-3.05, 2 P 2.90

Summary:
**Raw total energy**: -3.269 eV per atom
**Spin magnetization**: 0.000 μB per formula unit
**Space group**: C2/m, No. 12